Li2PuCoO8 | PBE with a Hubbard U | relaxed

POSCAR file:
```
Li2PuCoO8
1.0
4.286 0.000 0.000
-2.143 3.712 0.000
0.000 0.000 9.029
Li Pu Co O
2 1 1 8
direct
0.333 0.667 0.280 Li
0.667 0.333 0.720 Li
0.000 0.000 0.000 Pu
0.000 0.000 0.500 Co
0.014 0.671 0.861 O
0.329 0.343 0.861 O
0.333 0.667 0.493 O
0.343 0.014 0.139 O
0.657 0.986 0.861 O
0.667 0.333 0.507 O
0.671 0.657 0.139 O
0.986 0.329 0.139 O
```

Output
* magnetic moment: 3.26 Bohr magnetons per cell
* theoretical density: 5.1 g cm⁻³
* energy: -5.9830 eV/atom
* DOS(E_F): 0.68 states/eV per atom